(1)
SiC3F after structural relaxation, computed with PBE-GGA.

Results
DOS(E_F), states/eV per atom: 0.89
Formation energy without anion corrections, kJ/mol of formula units: 1000
ρ, Mg/m³: 2.588
Size of the total moment, μB per formula unit: 0.8
Raw total energy, eV/cell: -24.6
Offset from the most stable computed form, meV per atom: 0

```
data_SiC3F
_symmetry_space_group_name_H-M 'P m -3 m'
_symmetry_Int_Tables_number 221
_symmetry_space_group_name_Hall '-P 4 2 3'
_cell_length_a 3.764
_cell_length_b 3.764
_cell_length_c 3.764
_cell_angle_alpha 90.00
_cell_angle_beta 90.00
_cell_angle_gamma 90.00
loop_
_atom_site_label
_atom_site_type_symbol
_atom_site_fract_x
_atom_site_fract_y
_atom_site_fract_z
_atom_site_occupancy
Si1 Si 0.000 0.000 0.000 1
C1 C 0.000 0.000 0.500 1
F1 F 0.500 0.500 0.500 1
```

***

(2)
Si3CF after structural relaxation, computed with PBE-GGA.

Results
DOS(E_F), states/eV per atom: 0.43
Formation energy without anion corrections, kJ/mol of formula units: 388
ρ, Mg/m³: 2.712
Size of the total moment, μB per formula unit: 0.0
Raw total energy, eV/cell: -23.3
Offset from the most stable computed form, meV per atom: 0

```
data_Si3CF
_symmetry_space_group_name_H-M 'P m -3 m'
_symmetry_Int_Tables_number 221
_symmetry_space_group_name_Hall '-P 4 2 3'
_cell_length_a 4.132
_cell_length_b 4.132
_cell_length_c 4.132
_cell_angle_alpha 90.00
_cell_angle_beta 90.00
_cell_angle_gamma 90.00
loop_
_atom_site_label
_atom_site_type_symbol
_atom_site_fract_x
_atom_site_fract_y
_atom_site_fract_z
_atom_site_occupancy
Si1 Si 0.000 0.000 0.500 1
C1 C 0.000 0.000 0.000 1
F1 F 0.500 0.500 0.500 1
```